# 1
Material: CeYTc
Method: DFT, GGA-PBE
State: relaxed

Output
ΔE to the lowest computed polymorph, meV/atom: 37.8
E_tot, eV/atom: -7.63
Crystal system: tetragonal
Formation energy, kJ/mol of atoms: -4
M_tot, μB/f.u.: 0.0

Lattice parameters (Å, degrees): 3.418 3.418 6.902 104.33 104.33 90.00
Positions (direct):
Tc 0.674 0.674 0.347
Ce 0.293 0.293 0.587
Y 0.033 0.033 0.066



# 2
Material: CeYTc
Method: DFT, GGA-PBE
State: relaxed

Output
ΔE to the lowest computed polymorph, meV/atom: 0.0
E_tot, eV/atom: -7.67
Crystal system: monoclinic
Formation energy, kJ/mol of atoms: -8
M_tot, μB/f.u.: 0.0

Lattice parameters (Å, degrees): 4.282 6.024 7.443 120.05 89.99 110.84
Positions (direct):
Ce 0.664 0.827 0.553
Ce 0.336 0.173 0.447
Y 0.092 0.684 0.873
Y 0.908 0.316 0.127
Tc 0.625 0.750 0.215
Tc 0.375 0.250 0.785



# 3
Material: Ce3YTc
Method: DFT, GGA-PBE
State: relaxed

Output
ΔE to the lowest computed polymorph, meV/atom: 121.5
E_tot, eV/atom: -6.80
Crystal system: cubic
Formation energy, kJ/mol of atoms: 12
M_tot, μB/f.u.: 1.7

Lattice parameters (Å, degrees): 5.367 5.367 5.367 90.00 90.00 90.00
Positions (direct):
Ce 0.000 0.500 0.000
Ce 0.500 0.000 0.000
Ce 0.000 0.000 0.500
Y 0.500 0.500 0.500
Tc 0.000 0.000 0.000



# 4
Material: CeYTc
Method: DFT, GGA-PBE
State: relaxed

Output
ΔE to the lowest computed polymorph, meV/atom: 182.7
E_tot, eV/atom: -7.49
Crystal system: cubic
Formation energy, kJ/mol of atoms: 10
M_tot, μB/f.u.: 0.0

Lattice parameters (Å, degrees): 4.804 4.804 4.804 60.00 60.00 60.00
Positions (direct):
Y 0.000 0.000 0.000
Ce 0.500 0.500 0.500
Tc 0.250 0.250 0.250



# 5
Material: CeYTc
Method: DFT, GGA-PBE
State: relaxed

Output
ΔE to the lowest computed polymorph, meV/atom: 159.2
E_tot, eV/atom: -7.51
Crystal system: trigonal
Formation energy, kJ/mol of atoms: 7
M_tot, μB/f.u.: 0.0

Lattice parameters (Å, degrees): 3.540 4.724 4.724 120.00 90.00 90.00
Positions (direct):
Tc 0.046 0.000 0.000
Y 0.696 0.333 0.667
Ce 0.258 0.667 0.333



# 6
Material: Ce2YTc2
Method: DFT, GGA-PBE
State: relaxed

Output
E_tot, eV/atom: -7.90
Crystal system: triclinic
Formation energy, kJ/mol of atoms: -9
M_tot, μB/f.u.: 0.0

Lattice parameters (Å, degrees): 4.544 5.950 9.614 77.51 80.59 70.82
Positions (direct):
Y 0.277 0.037 0.369
Y 0.723 0.963 0.631
Tc 0.392 0.598 0.620
Tc 0.447 0.812 0.105
Tc 0.608 0.402 0.380
Tc 0.553 0.188 0.895
Ce 0.030 0.367 0.695
Ce 0.970 0.633 0.305
Ce 0.781 0.249 0.078
Ce 0.219 0.751 0.922



# 7
Material: Ce3ZnTc2
Method: DFT, GGA-PBE
State: relaxed

Output
E_tot, eV/atom: -6.75
Crystal system: monoclinic
Formation energy, kJ/mol of atoms: -11
M_tot, μB/f.u.: 0.4

Lattice parameters (Å, degrees): 4.768 8.201 7.863 107.55 107.65 90.00
Positions (direct):
Zn 0.418 0.030 0.837
Zn 0.582 0.970 0.163
Ce 0.238 0.184 0.476
Ce 0.934 0.285 0.869
Ce 0.379 0.624 0.759
Ce 0.066 0.715 0.131
Ce 0.621 0.376 0.241
Ce 0.762 0.816 0.524
Tc 0.156 0.524 0.312
Tc 0.926 0.860 0.853
Tc 0.844 0.476 0.688
Tc 0.074 0.140 0.147



# 8
Material: Ce6ZnTc2
Method: DFT, GGA-PBE
State: relaxed

Output
E_tot, eV/atom: -6.55
Crystal system: monoclinic
Formation energy, kJ/mol of atoms: -14
M_tot, μB/f.u.: 0.0

Lattice parameters (Å, degrees): 5.037 5.592 8.649 97.07 90.00 116.77
Positions (direct):
Ce 0.045 0.091 0.856
Ce 0.613 0.226 0.175
Ce 0.691 0.381 0.606
Ce 0.387 0.774 0.825
Ce 0.309 0.619 0.394
Ce 0.955 0.909 0.144
Tc 0.275 0.550 0.119
Tc 0.725 0.450 0.881
Zn 0.000 0.000 0.500